(1)
PrSm6Dy2Er | PBE | optimized geometry

Its total magnetization is 0.000 μB per cell. Its calculated total energy is -4.570 eV per atom.

a b c (Å): 9.632 8.901 8.901
angles (deg): 117.48 93.59 93.59
Fractional coordinates of all 20 atoms:
Er  0.750  0.589  0.411
Er  0.250  0.411  0.589
Sm  0.445  0.245  0.880
Sm  0.185  0.563  0.012
Sm  0.555  0.755  0.120
Sm  0.685  0.012  0.563
Sm  0.118  0.707  0.489
Sm  0.055  0.120  0.755
Sm  0.382  0.511  0.293
Sm  0.315  0.988  0.437
Sm  0.882  0.293  0.511
Sm  0.815  0.437  0.988
Sm  0.945  0.880  0.245
Sm  0.618  0.489  0.707
Pr  0.250  0.973  0.027
Pr  0.750  0.027  0.973
Dy  0.047  0.303  0.202
Dy  0.547  0.202  0.303
Dy  0.953  0.697  0.798
Dy  0.453  0.798  0.697


(2)
Pr4Sm2Dy2Er | PBE | optimized geometry

Its total magnetization is 0.001 μB per cell. Its calculated total energy is -4.681 eV per atom.

a b c (Å): 5.151 8.146 8.101
angles (deg): 107.62 90.00 108.43
Fractional coordinates of all 9 atoms:
Dy  0.667  0.333  0.000
Dy  0.333  0.667  0.000
Pr  0.778  0.556  0.670
Pr  0.222  0.444  0.330
Pr  0.554  0.109  0.330
Pr  0.446  0.891  0.670
Sm  0.888  0.777  0.329
Sm  0.112  0.223  0.671
Er  0.000  0.000  0.000